A plane-wave DFT calculation with PBE was carried out for an optimized crystal structure of Cs2Te2Se.

The value obtained for the polymorph energy (0 for the lowest one) is 89 meV per atom. The value obtained for the magnetization is 0.0 μB/f.u. For the formation energy without anion corrections, the calculation gives -0.62 eV/atom. As for the crystal system: tetragonal. The total energy comes out at -29.12 eV/cell.

Cell lengths 8.3813, 8.3813, 5.8484 Å; angles 90.00, 90.00, 90.00 degrees
Element x y z (fractional)
Te (0.1186, 0.3814, 0.0000)
Te (0.8814, 0.6186, 0.0000)
Te (0.3814, 0.8814, 0.0000)
Te (0.6186, 0.1186, 0.0000)
Se (0.5000, 0.5000, 0.0000)
Se (0.0000, 0.0000, 0.0000)
Cs (0.1833, 0.6833, 0.5000)
Cs (0.3167, 0.1833, 0.5000)
Cs (0.8167, 0.3167, 0.5000)
Cs (0.6833, 0.8167, 0.5000)

---

A plane-wave DFT calculation with PBE was carried out for an optimized crystal structure of ScCl.

The value obtained for the magnetization is 0.0 μB/f.u. For the formation energy without anion corrections, the calculation gives -1.03 eV/atom. As for the crystal system: trigonal. The total energy comes out at -10.25 eV/cell.

Cell lengths 4.5632, 4.5632, 4.5632 Å; angles 42.24, 42.24, 42.24 degrees
Element x y z (fractional)
Cl (0.0000, 0.0000, 0.0000)
Sc (0.5000, 0.5000, 0.5000)

---

A plane-wave DFT calculation with PBE was carried out for an optimized crystal structure of AgAu2Se.

The value obtained for the magnetization is 0.0 μB/f.u. For the formation energy without anion corrections, the calculation gives 0.15 eV/atom. As for the crystal system: tetragonal. The total energy comes out at -12.27 eV/cell.

Cell lengths 5.2267, 5.2267, 5.2267 Å; angles 132.92, 132.92, 68.79 degrees
Element x y z (fractional)
Au (0.2500, 0.7500, 0.5000)
Au (0.0000, 0.0000, 0.0000)
Se (0.5000, 0.5000, 0.0000)
Ag (0.7500, 0.2500, 0.5000)

---

Which of these has the highest formation energy without anion corrections? AgAu2Se